#A
{
  "formula": "Si3TcN",
  "functional": "GGA-PBE",
  "state": "relaxed",
  "spacegroup": "No. 221",
  "n_ef_per_ev_atom": 1.630,
  "magmom_total_mub_per_cell": 2.000,
  "cell": [[4.6177, 0.0000, 0.0000], [0.0000, 4.6177, 0.0000], [0.0000, 0.0000, 4.6177]],
  "species": ["Si", "Si", "Si", "Tc", "N"],
  "frac_coords": [[0.0000, 0.0000, 0.5000], [0.0000, 0.5000, 0.0000], [0.5000, 0.0000, 0.0000], [0.0000, 0.0000, 0.0000], [0.5000, 0.5000, 0.5000]]
}

#B
{
  "formula": "Si3TcN",
  "functional": "GGA-PBE",
  "state": "relaxed",
  "spacegroup": "No. 221",
  "n_ef_per_ev_atom": 0.823,
  "magmom_total_mub_per_cell": 0.390,
  "cell": [[3.9228, 0.0000, 0.0000], [0.0000, 3.9228, 0.0000], [0.0000, 0.0000, 3.9228]],
  "species": ["Si", "Si", "Si", "Tc", "N"],
  "frac_coords": [[0.0000, 0.0000, 0.5000], [0.0000, 0.5000, 0.0000], [0.5000, 0.0000, 0.0000], [0.5000, 0.5000, 0.5000], [0.0000, 0.0000, 0.0000]]
}

The data favor #B; the next most stable structure lies 694 meV per atom above it.

#A
{
  "formula": "SiTeN2",
  "functional": "GGA-PBE",
  "state": "relaxed",
  "spacegroup": "No. 166",
  "n_ef_per_ev_atom": 0.244,
  "magmom_total_mub_per_cell": 0.000,
  "cell": [[1.4951, 0.8632, 6.2971], [-1.4951, 0.8632, 6.2971], [0.0000, -1.7263, 6.2971]],
  "species": ["Si", "Te", "N", "N"],
  "frac_coords": [[0.0000, 0.0000, 0.0000], [0.5000, 0.5000, 0.5000], [0.3829, 0.3829, 0.3829], [0.6171, 0.6171, 0.6171]]
}

#B
{
  "formula": "SiTeN2",
  "functional": "GGA-PBE",
  "state": "relaxed",
  "spacegroup": "No. 225",
  "n_ef_per_ev_atom": 0.481,
  "magmom_total_mub_per_cell": 0.000,
  "cell": [[0.0000, 2.8971, 2.8971], [2.8971, 0.0000, 2.8971], [2.8971, 2.8971, 0.0000]],
  "species": ["Si", "Te", "N", "N"],
  "frac_coords": [[0.0000, 0.0000, 0.0000], [0.5000, 0.5000, 0.5000], [0.2500, 0.2500, 0.2500], [0.7500, 0.7500, 0.7500]]
}

The data favor #A; the next most stable structure lies 1589 meV per atom above it.

#A
{
  "formula": "SiTe2N2",
  "functional": "GGA-PBE",
  "state": "relaxed",
  "spacegroup": "No. 123",
  "n_ef_per_ev_atom": 0.752,
  "magmom_total_mub_per_cell": 0.000,
  "cell": [[4.0220, 0.0000, 0.0000], [0.0000, 4.0220, 0.0000], [0.0000, 0.0000, 6.6020]],
  "species": ["Si", "Te", "Te", "N", "N"],
  "frac_coords": [[0.0000, 0.0000, 0.0000], [0.5000, 0.5000, 0.0000], [0.5000, 0.5000, 0.5000], [0.0000, 0.5000, 0.5000], [0.5000, 0.0000, 0.5000]]
}

#B
{
  "formula": "SiTe2N2",
  "functional": "GGA-PBE",
  "state": "relaxed",
  "spacegroup": "No. 123",
  "n_ef_per_ev_atom": 0.497,
  "magmom_total_mub_per_cell": 1.132,
  "cell": [[4.6373, 0.0000, 0.0000], [0.0000, 4.6373, 0.0000], [0.0000, 0.0000, 3.9404]],
  "species": ["Si", "Te", "Te", "N", "N"],
  "frac_coords": [[0.0000, 0.0000, 0.0000], [0.0000, 0.5000, 0.5000], [0.5000, 0.0000, 0.5000], [0.5000, 0.5000, 0.0000], [0.5000, 0.5000, 0.5000]]
}

#C
{
  "formula": "SiTe2N2",
  "functional": "GGA-PBE",
  "state": "relaxed",
  "spacegroup": "No. 123",
  "n_ef_per_ev_atom": 0.564,
  "magmom_total_mub_per_cell": 2.088,
  "cell": [[5.6233, 0.0000, 0.0000], [0.0000, 5.6233, 0.0000], [0.0000, 0.0000, 3.2354]],
  "species": ["Si", "Te", "Te", "N", "N"],
  "frac_coords": [[0.0000, 0.0000, 0.0000], [0.0000, 0.5000, 0.0000], [0.5000, 0.0000, 0.0000], [0.0000, 0.0000, 0.5000], [0.5000, 0.5000, 0.5000]]
}

#D
{
  "formula": "SiTe2N2",
  "functional": "GGA-PBE",
  "state": "relaxed",
  "spacegroup": "No. 127",
  "n_ef_per_ev_atom": 0.733,
  "magmom_total_mub_per_cell": 0.000,
  "cell": [[7.9918, 0.0000, 0.0000], [0.0000, 7.9918, 0.0000], [0.0000, 0.0000, 3.0971]],
  "species": ["Si", "Si", "Te", "Te", "Te", "Te", "N", "N", "N", "N"],
  "frac_coords": [[0.0000, 0.0000, 0.0000], [0.5000, 0.5000, 0.0000], [0.2325, 0.2675, 0.0000], [0.2675, 0.7675, 0.0000], [0.7325, 0.2325, 0.0000], [0.7675, 0.7325, 0.0000], [0.1507, 0.6507, 0.5000], [0.3493, 0.1507, 0.5000], [0.6507, 0.8493, 0.5000], [0.8493, 0.3493, 0.5000]]
}

The data favor #D; the next most stable structure lies 156 meV per atom above it.

#A
{
  "formula": "SiTe2N2",
  "functional": "GGA-PBE",
  "state": "relaxed",
  "spacegroup": "No. 123",
  "n_ef_per_ev_atom": 0.758,
  "magmom_total_mub_per_cell": 0.011,
  "cell": [[3.8339, 0.0000, 0.0000], [0.0000, 3.8339, 0.0000], [0.0000, 0.0000, 6.7725]],
  "species": ["Si", "Te", "Te", "N", "N"],
  "frac_coords": [[0.0000, 0.0000, 0.0000], [0.0000, 0.0000, 0.5000], [0.5000, 0.5000, 0.5000], [0.0000, 0.5000, 0.0000], [0.5000, 0.0000, 0.0000]]
}

#B
{
  "formula": "SiTe2N2",
  "functional": "GGA-PBE",
  "state": "relaxed",
  "spacegroup": "No. 139",
  "n_ef_per_ev_atom": 0.571,
  "magmom_total_mub_per_cell": 0.000,
  "cell": [[-1.8910, 1.8910, 5.8554], [1.8910, -1.8910, 5.8554], [1.8910, 1.8910, -5.8554]],
  "species": ["Si", "Te", "Te", "N", "N"],
  "frac_coords": [[0.0000, 0.0000, 0.0000], [0.3476, 0.3476, 0.0000], [0.6524, 0.6524, 0.0000], [0.2500, 0.7500, 0.5000], [0.7500, 0.2500, 0.5000]]
}

The data favor #A; the next most stable structure lies 64 meV per atom above it.

#A
{
  "formula": "Si3TeN",
  "functional": "GGA-PBE",
  "state": "relaxed",
  "spacegroup": "No. 221",
  "n_ef_per_ev_atom": 0.484,
  "magmom_total_mub_per_cell": 0.000,
  "cell": [[4.3099, 0.0000, 0.0000], [0.0000, 4.3099, 0.0000], [0.0000, 0.0000, 4.3099]],
  "species": ["Si", "Si", "Si", "Te", "N"],
  "frac_coords": [[0.0000, 0.0000, 0.5000], [0.0000, 0.5000, 0.0000], [0.5000, 0.0000, 0.0000], [0.5000, 0.5000, 0.5000], [0.0000, 0.0000, 0.0000]]
}

#B
{
  "formula": "Si3TeN",
  "functional": "GGA-PBE",
  "state": "relaxed",
  "spacegroup": "No. 221",
  "n_ef_per_ev_atom": 0.794,
  "magmom_total_mub_per_cell": 0.000,
  "cell": [[5.2033, 0.0000, 0.0000], [0.0000, 5.2033, 0.0000], [0.0000, 0.0000, 5.2033]],
  "species": ["Si", "Si", "Si", "Te", "N"],
  "frac_coords": [[0.0000, 0.0000, 0.5000], [0.0000, 0.5000, 0.0000], [0.5000, 0.0000, 0.0000], [0.0000, 0.0000, 0.0000], [0.5000, 0.5000, 0.5000]]
}

The data favor #A; the next most stable structure lies 1757 meV per atom above it.

#A
{
  "formula": "Si2TeN",
  "functional": "GGA-PBE",
  "state": "relaxed",
  "spacegroup": "No. 122",
  "n_ef_per_ev_atom": 0.643,
  "magmom_total_mub_per_cell": 0.000,
  "cell": [[-2.4153, 2.4153, 5.9528], [2.4153, -2.4153, 5.9528], [2.4153, 2.4153, -5.9528]],
  "species": ["Si", "Si", "Si", "Si", "Te", "Te", "N", "N"],
  "frac_coords": [[0.3750, 0.2096, 0.3346], [0.7904, 0.1250, 0.1654], [0.8750, 0.0404, 0.6654], [0.9596, 0.6250, 0.8346], [0.2500, 0.7500, 0.5000], [0.5000, 0.5000, 0.0000], [0.0000, 0.0000, 0.0000], [0.7500, 0.2500, 0.5000]]
}

#B
{
  "formula": "Si2TeN",
  "functional": "GGA-PBE",
  "state": "relaxed",
  "spacegroup": "No. 225",
  "n_ef_per_ev_atom": 0.584,
  "magmom_total_mub_per_cell": 0.000,
  "cell": [[0.0000, 3.1819, 3.1819], [3.1819, 0.0000, 3.1819], [3.1819, 3.1819, 0.0000]],
  "species": ["Si", "Si", "Te", "N"],
  "frac_coords": [[0.2500, 0.2500, 0.2500], [0.7500, 0.7500, 0.7500], [0.0000, 0.0000, 0.0000], [0.5000, 0.5000, 0.5000]]
}

The data favor #A; the next most stable structure lies 1000 meV per atom above it.